Record 1
# NdHoAs (GGA-PBE, optimized geometry)
data_NdHoAs
_chemical_formula_sum 'Nd4 Ho4 As4'
_cell_length_a 6.921
_cell_length_b 6.921
_cell_length_c 6.921
_cell_angle_alpha 90.00
_cell_angle_beta 90.00
_cell_angle_gamma 90.00
_space_group_name_H-M_alt 'F -4 3 m'
_space_group_IT_number 216
_space_group_name_Hall 'F -4 2 3'
loop_
_atom_site_label
_atom_site_type_symbol
_atom_site_fract_x
_atom_site_fract_y
_atom_site_fract_z
Nd1 Nd 0.000 0.000 0.000
Ho1 Ho 0.000 0.000 0.500
As1 As 0.250 0.250 0.750
# crystal system	cubic
# total energy	-5.433	eV/atom
# calculated density	7.7	Mg/m³
# M_tot	0.01	μB/f.u.

Record 2
# PaPd (GGA-PBE, optimized geometry)
data_PaPd
_chemical_formula_sum 'Pa4 Pd4'
_cell_length_a 6.302
_cell_length_b 6.302
_cell_length_c 6.302
_cell_angle_alpha 90.00
_cell_angle_beta 90.00
_cell_angle_gamma 90.00
_space_group_name_H-M_alt 'F -4 3 m'
_space_group_IT_number 216
_space_group_name_Hall 'F -4 2 3'
loop_
_atom_site_label
_atom_site_type_symbol
_atom_site_fract_x
_atom_site_fract_y
_atom_site_fract_z
Pa1 Pa 0.000 0.000 0.000
Pd1 Pd 0.250 0.250 0.750
# formation energy from the elements	0.588	eV/atom
# crystal system	cubic
# calculated density	9.0	Mg/m³
# M_tot	1.16	μB/f.u.

Record 3
# TbPr2Sn3Ir2Pd (GGA-PBE, optimized geometry)
data_TbPr2Sn3Ir2Pd
_chemical_formula_sum 'Tb2 Pr4 Sn6 Ir4 Pd2'
_cell_length_a 4.122
_cell_length_b 13.053
_cell_length_c 7.578
_cell_angle_alpha 90.00
_cell_angle_beta 90.00
_cell_angle_gamma 90.00
_space_group_name_H-M_alt 'A m m 2'
_space_group_IT_number 38
loop_
_space_group_symop_operation_xyz
'x,y,z'
'-x,-y,z'
'-x,y,z'
'x,-y,z'
'x,y+1/2,z+1/2'
'-x,-y+1/2,z+1/2'
'-x,y+1/2,z+1/2'
'x,-y+1/2,z+1/2'
loop_
_atom_site_label
_atom_site_type_symbol
_atom_site_fract_x
_atom_site_fract_y
_atom_site_fract_z
Tb1 Tb 0.000 0.000 0.000
Pr1 Pr 0.000 0.207 0.620
Sn1 Sn 0.500 0.000 0.671
Sn2 Sn 0.500 0.128 0.283
Ir1 Ir 0.500 0.162 0.915
Pd1 Pd 0.000 0.000 0.407
# crystal system	orthorhombic
# total energy	-6.268	eV/atom
# calculated density	10.5	Mg/m³
# M_tot	0.00	μB/f.u.

Record 4
# ZnInCl3 (GGA-PBE, optimized geometry)
data_ZnInCl3
_chemical_formula_sum 'Zn2 In2 Cl6'
_cell_length_a 6.263
_cell_length_b 6.594
_cell_length_c 8.131
_cell_angle_alpha 69.42
_cell_angle_beta 88.59
_cell_angle_gamma 83.52
_space_group_name_H-M_alt 'P 1'
_space_group_IT_number 1
loop_
_space_group_symop_operation_xyz
'x,y,z'
loop_
_atom_site_label
_atom_site_type_symbol
_atom_site_fract_x
_atom_site_fract_y
_atom_site_fract_z
Zn1 Zn 0.000 0.000 0.000
Zn2 Zn 0.493 0.134 0.699
In1 In 0.036 0.727 0.597
In2 In 0.545 0.490 0.103
Cl1 Cl 0.025 0.651 0.014
Cl2 Cl 0.335 0.404 0.468
Cl3 Cl 0.344 0.120 0.969
Cl4 Cl 0.512 0.800 0.680
Cl5 Cl 0.839 0.224 0.731
Cl6 Cl 0.852 0.062 0.234
# crystal system	triclinic
# total energy	-2.934	eV/atom
# calculated density	3.0	Mg/m³

Record 5
# Sr2TmS3 (GGA-PBE, optimized geometry)
data_Sr2TmS3
_chemical_formula_sum 'Sr2 Tm1 S3'
_cell_length_a 4.0782
_cell_length_b 4.0782
_cell_length_c 10.2136
_cell_angle_alpha 90.00
_cell_angle_beta 90.00
_cell_angle_gamma 120.00
_space_group_name_H-M_alt 'P -3 m 1'
_space_group_IT_number 164
_space_group_name_Hall '-P 3 2"'
loop_
_atom_site_label
_atom_site_type_symbol
_atom_site_fract_x
_atom_site_fract_y
_atom_site_fract_z
Sr1 Sr 0.3333 0.6667 0.1743
Tm1 Tm 0.0000 0.0000 0.5000
S1 S 0.0000 0.0000 0.0000
S2 S 0.3333 0.6667 0.6445
# crystal system	trigonal
# total energy	-5.413	eV/atom
# calculated density	5.0	Mg/m³
# M_tot	0.02	μB/f.u.

Record 6
# YCoHgSb (GGA-PBE, optimized geometry)
data_YCoHgSb
_chemical_formula_sum 'Y4 Co4 Hg4 Sb4'
_cell_length_a 6.986
_cell_length_b 6.986
_cell_length_c 6.986
_cell_angle_alpha 90.00
_cell_angle_beta 90.00
_cell_angle_gamma 90.00
_space_group_name_H-M_alt 'F -4 3 m'
_space_group_IT_number 216
_space_group_name_Hall 'F -4 2 3'
loop_
_atom_site_label
_atom_site_type_symbol
_atom_site_fract_x
_atom_site_fract_y
_atom_site_fract_z
Y1 Y 0.000 0.000 0.000
Co1 Co 0.250 0.250 0.750
Hg1 Hg 0.250 0.250 0.250
Sb1 Sb 0.000 0.000 0.500
# polymorph energy (0 for the lowest one)	0.067	eV per atom
# crystal system	cubic
# calculated density	9.2	Mg/m³
# M_tot	0.85	μB/f.u.

Record 7
# BaTbNO (GGA-PBE, optimized geometry)
data_BaTbNO
_chemical_formula_sum 'Ba4 Tb4 N4 O4'
_cell_length_a 6.765
_cell_length_b 8.554
_cell_length_c 6.106
_cell_angle_alpha 90.00
_cell_angle_beta 90.00
_cell_angle_gamma 90.00
_space_group_name_H-M_alt 'P c a 21'
_space_group_IT_number 29
loop_
_space_group_symop_operation_xyz
'x,y,z'
'-x,-y,z+1/2'
'-x+1/2,y,z+1/2'
'x+1/2,-y,z'
loop_
_atom_site_label
_atom_site_type_symbol
_atom_site_fract_x
_atom_site_fract_y
_atom_site_fract_z
Ba1 Ba 0.072 0.132 0.000
Tb1 Tb 0.085 0.609 0.983
N1 N 0.036 0.168 0.554
O1 O 0.108 0.582 0.619
# polymorph energy (0 for the lowest one)	0.067	eV per atom
# crystal system	orthorhombic
# calculated density	6.1	Mg/m³
# M_tot	0.00	μB/f.u.

Record 8
# GdGeNO (GGA-PBE, optimized geometry)
data_GdGeNO
_chemical_formula_sum 'Gd4 Ge4 N4 O4'
_cell_length_a 5.558
_cell_length_b 8.181
_cell_length_c 5.353
_cell_angle_alpha 90.00
_cell_angle_beta 90.00
_cell_angle_gamma 90.00
_space_group_name_H-M_alt 'P c a 21'
_space_group_IT_number 29
loop_
_space_group_symop_operation_xyz
'x,y,z'
'-x,-y,z+1/2'
'-x+1/2,y,z+1/2'
'x+1/2,-y,z'
loop_
_atom_site_label
_atom_site_type_symbol
_atom_site_fract_x
_atom_site_fract_y
_atom_site_fract_z
Gd1 Gd 0.008 0.138 0.000
Ge1 Ge 0.050 0.611 0.981
N1 N 0.111 0.584 0.606
O1 O 0.248 0.994 0.247
# polymorph energy (0 for the lowest one)	0.000	eV per atom
# crystal system	orthorhombic
# calculated density	7.1	Mg/m³
# M_tot	0.00	μB/f.u.

Record 9
# BaZn2 (GGA-PBE, optimized geometry)
data_BaZn2
_chemical_formula_sum 'Ba8 Zn16'
_cell_length_a 9.025
_cell_length_b 4.869
_cell_length_c 15.379
_cell_angle_alpha 90.00
_cell_angle_beta 100.04
_cell_angle_gamma 90.00
_space_group_name_H-M_alt 'P 1 21/m 1'
_space_group_IT_number 11
loop_
_space_group_symop_operation_xyz
'x,y,z'
'-x,-y,-z'
'-x,y+1/2,-z'
'x,-y+1/2,z'
loop_
_atom_site_label
_atom_site_type_symbol
_atom_site_fract_x
_atom_site_fract_y
_atom_site_fract_z
Ba1 Ba 0.040 0.250 0.326
Ba2 Ba 0.222 0.250 0.882
Ba3 Ba 0.300 0.250 0.590
Ba4 Ba 0.322 0.750 0.224
Zn1 Zn 0.069 0.750 0.480
Zn2 Zn 0.104 0.750 0.022
Zn3 Zn 0.126 0.250 0.103
Zn4 Zn 0.341 0.750 0.444
Zn5 Zn 0.397 0.750 0.020
Zn6 Zn 0.398 0.750 0.748
Zn7 Zn 0.435 0.250 0.097
Zn8 Zn 0.439 0.250 0.398
# crystal system	monoclinic
# total energy	-1.642	eV/atom
# calculated density	5.4	Mg/m³

Record 10
# ScZnCuSn (GGA-PBE, optimized geometry)
data_ScZnCuSn
_chemical_formula_sum 'Sc4 Zn4 Cu4 Sn4'
_cell_length_a 6.563
_cell_length_b 6.563
_cell_length_c 6.563
_cell_angle_alpha 90.00
_cell_angle_beta 90.00
_cell_angle_gamma 90.00
_space_group_name_H-M_alt 'F -4 3 m'
_space_group_IT_number 216
_space_group_name_Hall 'F -4 2 3'
loop_
_atom_site_label
_atom_site_type_symbol
_atom_site_fract_x
_atom_site_fract_y
_atom_site_fract_z
Sc1 Sc 0.000 0.000 0.000
Zn1 Zn 0.250 0.250 0.750
Cu1 Cu 0.250 0.250 0.250
Sn1 Sn 0.000 0.000 0.500
# polymorph energy (0 for the lowest one)	0.000	eV per atom
# crystal system	cubic
# calculated density	6.9	Mg/m³
# M_tot	0.00	μB/f.u.

Record 11
# TaFeAs (GGA-PBE, optimized geometry)
data_TaFeAs
_chemical_formula_sum 'Ta2 Fe2 As2'
_cell_length_a 4.0432
_cell_length_b 4.0432
_cell_length_c 6.1680
_cell_angle_alpha 90.00
_cell_angle_beta 90.00
_cell_angle_gamma 120.00
_space_group_name_H-M_alt 'P 63 m c'
_space_group_IT_number 186
_space_group_name_Hall 'P 6c -2c'
loop_
_atom_site_label
_atom_site_type_symbol
_atom_site_fract_x
_atom_site_fract_y
_atom_site_fract_z
Ta1 Ta 0.0000 0.0000 0.0000
Fe1 Fe 0.3333 0.6667 0.3574
As1 As 0.3333 0.6667 0.7485
# crystal system	hexagonal
# total energy	-8.568	eV/atom
# calculated density	11.9	Mg/m³
# M_tot	0.00	μB/f.u.

Record 12
# CsRb5Zn2O5 (GGA-PBE, optimized geometry)
data_CsRb5Zn2O5
_chemical_formula_sum 'Cs2 Rb10 Zn4 O10'
_cell_length_a 7.081
_cell_length_b 12.000
_cell_length_c 6.908
_cell_angle_alpha 90.00
_cell_angle_beta 92.38
_cell_angle_gamma 90.00
_space_group_name_H-M_alt 'C 1 m 1'
_space_group_IT_number 8
loop_
_space_group_symop_operation_xyz
'x,y,z'
'x,-y,z'
'x+1/2,y+1/2,z'
'x+1/2,-y+1/2,z'
loop_
_atom_site_label
_atom_site_type_symbol
_atom_site_fract_x
_atom_site_fract_y
_atom_site_fract_z
Cs1 Cs 0.000 0.000 0.000
Rb1 Rb 0.194 0.500 0.381
Rb2 Rb 0.342 0.234 0.696
Rb3 Rb 0.344 0.214 0.204
Zn1 Zn 0.051 0.500 0.873
Zn2 Zn 0.146 0.000 0.501
O1 O 0.036 0.138 0.429
O2 O 0.141 0.362 0.974
O3 O 0.392 0.000 0.637
# crystal system	monoclinic
# total energy	-3.748	eV/atom
# calculated density	4.4	Mg/m³

Record 13
# Lu2S (GGA-PBE, optimized geometry)
data_Lu2S
_chemical_formula_sum 'Lu4 S2'
_cell_length_a 6.234
_cell_length_b 6.234
_cell_length_c 3.785
_cell_angle_alpha 90.00
_cell_angle_beta 90.00
_cell_angle_gamma 90.00
_space_group_name_H-M_alt 'P 42/m n m'
_space_group_IT_number 136
_space_group_name_Hall '-P 4n 2n'
loop_
_atom_site_label
_atom_site_type_symbol
_atom_site_fract_x
_atom_site_fract_y
_atom_site_fract_z
Lu1 Lu 0.207 0.207 0.000
S1 S 0.000 0.000 0.500
# crystal system	tetragonal
# total energy	-5.530	eV/atom
# calculated density	8.6	Mg/m³
# M_tot	0.00	μB/f.u.